The following is a DFT calculation (GGA-PBE) of a geometry-optimized CsNaCd2Pd structure.

Lattice parameters (Å, degrees): 5.430 5.430 5.610 90.00 90.00 90.00
Fractional coordinates of all 5 atoms:
Na: 0.000 0.000 0.500
Cs: 0.500 0.500 0.500
Cd: 0.500 0.000 0.000
Cd: 0.000 0.500 0.000
Pd: 0.000 0.000 0.000

Values from the calculation:
Energy of formation: -0.14 eV per atom
Calculated total energy: -0.0727 hartree per atom
Energy above the most stable polymorph in this dataset: 0 meV/atom
Space group: P4/mmm, No. 123

***

The following is a DFT calculation (GGA-PBE) of a geometry-optimized Ba3NbO structure.

Lattice parameters (Å, degrees): 5.554 5.554 5.554 90.00 90.00 90.00
Site moments in Bohr magnetons follow the coordinates.
Fractional coordinates of all 5 atoms:
Nb: 0.500 0.500 0.500  2.69
O: 0.000 0.000 0.000  0.01
Ba: 0.000 0.000 0.500  0.08
Ba: 0.500 0.000 0.000  0.09
Ba: 0.000 0.500 0.000  0.06

Values from the calculation:
Formation energy without anion corrections: -375 meV/atom
Calculated total energy: -0.1666 hartree per atom
Energy above the most stable polymorph in this dataset: 0 meV/atom
Space group: Pm-3m, No. 221

***

The following is a DFT calculation (GGA-PBE) of a geometry-optimized ScNiHRh2 structure.

Lattice parameters (Å, degrees): 3.996 3.996 3.759 90.00 90.00 90.00
Fractional coordinates of all 5 atoms:
Ni: 0.000 0.000 0.500
Sc: 0.500 0.500 0.500
Rh: 0.500 0.000 0.000
Rh: 0.000 0.500 0.000
H: 0.000 0.000 0.000

Values from the calculation:
Calculated total energy: -0.2406 hartree per atom
Energy above the most stable polymorph in this dataset: 0 meV/atom
Space group: P4/mmm, No. 123